ErLuAu2 after structural relaxation, computed with PBE.

Output
* space group: No. 225
* calculated formation energy: -0.89 eV/atom
* relative energy among the computed polymorphs: 0.003 eV/atom
* raw total energy: -4.7953 eV/atom

Cell: 5.0206 5.0206 5.0206 Å, 60.00 60.00 60.00°
Positions (direct):
Er1 0.0000 0.0000 0.0000
Lu1 0.5000 0.5000 0.5000
Au1 0.2500 0.2500 0.2500
Au2 0.7500 0.7500 0.7500